Record 1
! InTcP2, relaxed, DFT PBE; values from VASP
! - Energy: -0.4377 Ry per atom
! - Density of states at the Fermi level: 0.737 states/eV/atom
! - Space-group type: C2/m, No. 12
! - ΔH_f (0 K): 0.60 kcal/mol of atoms
&SYSTEM
  ibrav = 0, nat = 4, ntyp = 3
/
ATOMIC_SPECIES
Tc 98.00 Tc.upf
In 114.82 In.upf
P 30.97 P.upf
CELL_PARAMETERS angstrom
4.060 0.015 -0.151
2.883 2.859 -0.151
0.170 0.071 6.717
ATOMIC_POSITIONS angstrom
Tc 5.335 2.209 4.811
In 1.778 0.736 1.604
P 0.465 0.193 6.052
P 3.262 1.350 3.872

=====

Record 2
! InTcP2, relaxed, DFT PBE; values from VASP
! - Energy: -0.4216 Ry per atom
! - Density of states at the Fermi level: 0.810 states/eV/atom
! - Space-group type: Cmmm, No. 65
! - ΔH_f (0 K): 5.65 kcal/mol of atoms
&SYSTEM
  ibrav = 0, nat = 4, ntyp = 3
/
ATOMIC_SPECIES
P 30.97 P.upf
In 114.82 In.upf
Tc 98.00 Tc.upf
CELL_PARAMETERS angstrom
-0.465 2.220 -1.874
-1.199 0.393 2.658
7.782 4.083 2.908
ATOMIC_POSITIONS angstrom
P 5.394 2.830 2.016
P 2.387 1.253 0.892
In -0.832 1.307 0.392
Tc 3.059 3.348 1.846

=====

Record 3
! InTc2P, relaxed, DFT PBE; values from VASP
! - Energy: -0.5241 Ry per atom
! - Density of states at the Fermi level: 1.035 states/eV/atom
! - Distance to the lowest polymorph of the same formula: 220 meV/atom
! - Space-group type: Amm2, No. 38
! - ΔH_f (0 K): 2.07 kcal/mol of atoms
&SYSTEM
  ibrav = 0, nat = 4, ntyp = 3
/
ATOMIC_SPECIES
Tc 98.00 Tc.upf
P 30.97 P.upf
In 114.82 In.upf
CELL_PARAMETERS angstrom
-2.557 -1.833 -3.088
-0.577 -2.289 1.836
-4.272 1.330 2.747
ATOMIC_POSITIONS angstrom
Tc -4.674 -0.571 4.209
Tc -2.211 -1.165 -0.625
P -5.299 -1.892 2.364
In -2.493 -0.602 2.422

=====

Record 4
! InTc2P, relaxed, DFT PBE; values from VASP
! - Energy: -0.5109 Ry per atom
! - Density of states at the Fermi level: 1.026 states/eV/atom
! - Distance to the lowest polymorph of the same formula: 399 meV/atom
! - Space-group type: P4/mmm, No. 123
! - ΔH_f (0 K): 6.19 kcal/mol of atoms
&SYSTEM
  ibrav = 0, nat = 4, ntyp = 3
/
ATOMIC_SPECIES
In 114.82 In.upf
P 30.97 P.upf
Tc 98.00 Tc.upf
CELL_PARAMETERS angstrom
-3.380 2.733 -0.617
-0.816 -0.035 4.314
1.925 2.467 0.384
ATOMIC_POSITIONS angstrom
In -1.136 2.583 2.040
P 0.963 1.234 0.192
Tc -0.408 -0.017 2.157
Tc -1.690 1.367 -0.309

=====

Record 5
! InTc2P, relaxed, DFT PBE; values from VASP
! - Energy: -0.5022 Ry per atom
! - Density of states at the Fermi level: 1.022 states/eV/atom
! - Distance to the lowest polymorph of the same formula: 518 meV/atom
! - Space-group type: Cmm2, No. 35
! - ΔH_f (0 K): 8.94 kcal/mol of atoms
&SYSTEM
  ibrav = 0, nat = 4, ntyp = 3
/
ATOMIC_SPECIES
Tc 98.00 Tc.upf
P 30.97 P.upf
In 114.82 In.upf
CELL_PARAMETERS angstrom
0.847 2.499 -0.946
-0.917 -1.772 -1.969
-9.288 3.568 1.113
ATOMIC_POSITIONS angstrom
Tc -7.305 3.157 -0.586
Tc -0.019 0.007 0.002
P -1.770 1.030 -1.250
In -4.907 1.885 0.588

=====

Record 6
! InTcP2, relaxed, DFT PBE; values from VASP
! - Energy: -0.4467 Ry per atom
! - Density of states at the Fermi level: 0.359 states/eV/atom
! - Space-group type: R-3m, No. 166
! - ΔH_f (0 K): -2.22 kcal/mol of atoms
&SYSTEM
  ibrav = 0, nat = 4, ntyp = 3
/
ATOMIC_SPECIES
P 30.97 P.upf
Tc 98.00 Tc.upf
In 114.82 In.upf
CELL_PARAMETERS angstrom
-0.039 -1.749 8.893
-2.040 -3.877 7.934
0.979 -4.450 7.835
ATOMIC_POSITIONS angstrom
P -1.077 -9.867 24.149
P -0.573 -5.247 12.843
Tc -0.275 -2.519 6.165
In -0.825 -7.557 18.496

=====

Question: Number 3 is which compound?
Answer: InTc2P

=====

Question: Among the records above, which one has the highest ΔH_f (0 K)?
Answer: number 5

=====

Question: Which formula does entry 2 have?
Answer: InTcP2

=====

Question: energy of number 3 (InTc2P)?
Answer: -0.5241 Ry per atom